[1]
The following is a GGA-PBE calculation of a geometry-optimized AgBi structure, from the Open Quantum Materials Database.

Cell lengths 6.4131, 6.4131, 6.4131 Å; angles 90.00, 90.00, 90.00 degrees
With the nearest neighbours (Å) after each atom.
Space group F-43m (No. 216)
Unique sites:
Ag (0.0000, 0.0000, 0.0000) (multiplicity 4)  4 Bi 2.78
Bi (0.2500, 0.2500, 0.7500) (multiplicity 4)  4 Ag 2.78

---

[2]
The following is a GGA-PBE calculation of a geometry-optimized Ag15Bi structure, from the Open Quantum Materials Database.

Cell lengths 8.1087, 2.9462, 35.9841 Å; angles 90.00, 90.03, 90.00 degrees
With the nearest neighbours (Å) after each atom.
Space group P2_1/m (No. 11)
Unique sites:
Ag (0.1235, 0.2500, 0.2662) (multiplicity 2)  9 Ag 2.87-2.97, 2 Bi 3.05
Ag (0.1250, 0.2500, 0.0205) (multiplicity 2)  12 Ag 2.90-2.95
Ag (0.1249, 0.2500, 0.1019) (multiplicity 2)  12 Ag 2.90-2.95
Ag (0.1252, 0.2500, 0.1836) (multiplicity 2)  12 Ag 2.90-2.97
Ag (0.1250, 0.2500, 0.6945) (multiplicity 2)  7 Ag 2.87-2.95
Ag (0.1252, 0.2500, 0.7760) (multiplicity 2)  12 Ag 2.90-2.95
Ag (0.1251, 0.2500, 0.8577) (multiplicity 2)  12 Ag 2.90-2.95
Ag (0.1252, 0.2500, 0.9391) (multiplicity 2)  12 Ag 2.90-2.95
Ag (0.3736, 0.7500, 0.7337) (multiplicity 2)  9 Ag 2.87-2.97, 2 Bi 3.05
Ag (0.3752, 0.7500, 0.0611) (multiplicity 2)  12 Ag 2.90-2.95
Ag (0.3751, 0.7500, 0.1428) (multiplicity 2)  12 Ag 2.90-2.95
Ag (0.3751, 0.7500, 0.2249) (multiplicity 2)  11 Ag 2.91-2.95, 1 Bi 3.22
Ag (0.3752, 0.7500, 0.8164) (multiplicity 2)  12 Ag 2.90-2.97
Ag (0.3748, 0.7500, 0.8982) (multiplicity 2)  12 Ag 2.90-2.95
Ag (0.3749, 0.7500, 0.9797) (multiplicity 2)  12 Ag 2.90-2.95
Bi (0.3749, 0.7500, 0.3143) (multiplicity 2)  2 Bi 2.95, 5 Ag 3.05-3.22

Results
**Relative energy among the computed polymorphs**: 34 meV/atom

---

[3]
The following is a GGA-PBE calculation of a geometry-optimized AgBi structure, from the Open Quantum Materials Database.

Cell lengths 5.5908, 4.5506, 7.8471 Å; angles 90.00, 90.00, 90.00 degrees
With the nearest neighbours (Å) after each atom.
Space group Pmma (No. 51)
Unique sites:
Ag (0.0000, 0.0000, 0.0000) (multiplicity 2)  6 Ag 2.80-2.83
Ag (0.2500, 0.5000, 0.1191) (multiplicity 2)  4 Ag 2.83, 5 Bi 3.02-3.07
Bi (0.2500, 0.0000, 0.3724) (multiplicity 2)  4 Ag 3.02-3.24
Bi (0.2500, 0.5000, 0.7279) (multiplicity 2)  3 Ag 3.04-3.07

---

no.,electronic total energy (eV per atom)
1,-2.974
2,-2.832
3,-3.372